Pr2BiPb: optimized geometry, GGA-PBE. Values from VASP.

Calculated values
Formation energy from the elements in eV/atom: -0.631
Final energy in eV/atom: -4.92
Energy above the lowest structure with this stoichiometry in eV per atom: 0.133
Magnetic moment in μB per cell: 0.00

```
&SYSTEM
  ibrav = 0, nat = 4, ntyp = 3
/
ATOMIC_SPECIES
Pr 140.91 Pr.upf
Bi 208.98 Bi.upf
Pb 207.20 Pb.upf
CELL_PARAMETERS angstrom
4.252 0.000 0.000
0.000 4.252 0.000
0.000 0.000 6.966
ATOMIC_POSITIONS angstrom
Pr 0.000 0.000 1.736
Pr 0.000 0.000 5.230
Bi 2.126 2.126 0.000
Pb 2.126 2.126 3.483
```